Record 1
{
  "formula": "SrCuAs3",
  "functional": "PBE-GGA",
  "state": "optimized geometry",
  "formation_enthalpy_0k_ev_per_atom": 1.307,
  "energy_ev_per_atom": -2.64,
  "lattice": [[5.616, 0.000, 0.000], [0.000, 5.616, 0.000], [0.000, 0.000, 5.616]],
  "species": ["Sr", "Cu", "As", "As", "As"],
  "fractional_positions": [[0.000, 0.000, 0.000], [0.500, 0.500, 0.500], [0.000, 0.000, 0.500], [0.000, 0.500, 0.000], [0.500, 0.000, 0.000]]
}

---

Record 2
{
  "formula": "SrCuAs2",
  "functional": "PBE-GGA",
  "state": "optimized geometry",
  "formation_enthalpy_0k_ev_per_atom": -0.022,
  "energy_ev_per_atom": -3.79,
  "lattice": [[0.000, 3.515, 3.515], [3.515, 0.000, 3.515], [3.515, 3.515, 0.000]],
  "species": ["Sr", "Cu", "As", "As"],
  "fractional_positions": [[0.000, 0.000, 0.000], [0.750, 0.750, 0.750], [0.250, 0.250, 0.250], [0.500, 0.500, 0.500]]
}

---

Repeat the second record exactly.
{
  "formula": "SrCuAs2",
  "functional": "PBE-GGA",
  "state": "optimized geometry",
  "formation_enthalpy_0k_ev_per_atom": -0.022,
  "energy_ev_per_atom": -3.79,
  "lattice": [[0.000, 3.515, 3.515], [3.515, 0.000, 3.515], [3.515, 3.515, 0.000]],
  "species": ["Sr", "Cu", "As", "As"],
  "fractional_positions": [[0.000, 0.000, 0.000], [0.750, 0.750, 0.750], [0.250, 0.250, 0.250], [0.500, 0.500, 0.500]]
}

---

What is the formula in the second record?
SrCuAs2

---

What did the first record say?
{
  "formula": "SrCuAs3",
  "functional": "PBE-GGA",
  "state": "optimized geometry",
  "formation_enthalpy_0k_ev_per_atom": 1.307,
  "energy_ev_per_atom": -2.64,
  "lattice": [[5.616, 0.000, 0.000], [0.000, 5.616, 0.000], [0.000, 0.000, 5.616]],
  "species": ["Sr", "Cu", "As", "As", "As"],
  "fractional_positions": [[0.000, 0.000, 0.000], [0.500, 0.500, 0.500], [0.000, 0.000, 0.500], [0.000, 0.500, 0.000], [0.500, 0.000, 0.000]]
}